Entry 1:
Entry from Alexandria: Ba3CdPb after structural relaxation (PBE).

Geometry as POSCAR:
```
Ba3CdPb
1.0
6.784 0.000 0.000
0.000 6.784 0.000
0.000 0.000 6.784
Ba Cd Pb
3 1 1
Direct
0.000 0.000 0.500 Ba
0.000 0.500 0.000 Ba
0.500 0.000 0.000 Ba
0.500 0.500 0.500 Cd
0.000 0.000 0.000 Pb
```

Results
* energy of formation: -50 meV per atom
* energy above the lowest structure with this stoichiometry: 32.77 kJ per mole of atoms
* space group: No. 221

***

Entry 2:
Entry from Alexandria: Ba2CdPb after structural relaxation (PBE).

Geometry as POSCAR:
```
Ba2CdPb
1.0
5.334 0.000 0.000
0.000 9.037 0.000
0.000 0.000 6.921
Ba Cd Pb
4 2 2
Direct
0.000 0.056 0.000 Ba
0.000 0.567 0.795 Ba
0.500 0.433 0.295 Ba
0.500 0.944 0.500 Ba
0.000 0.220 0.510 Cd
0.500 0.780 0.010 Cd
0.000 0.717 0.300 Pb
0.500 0.283 0.800 Pb
```

Results
* energy of formation: -442 meV per atom
* energy above the lowest structure with this stoichiometry: 4.71 kJ per mole of atoms
* space group: No. 31

***

Entry 3:
Entry from Alexandria: Ba4CdPb after structural relaxation (PBE).

Geometry as POSCAR:
```
Ba4CdPb
1.0
0.000 5.161 5.161
5.161 0.000 5.161
5.161 5.161 0.000
Ba Cd Pb
4 1 1
Direct
0.376 0.376 0.376 Ba
0.376 0.376 0.872 Ba
0.376 0.872 0.376 Ba
0.872 0.376 0.376 Ba
0.000 0.000 0.000 Cd
0.750 0.750 0.750 Pb
```

Results
* energy of formation: 222 meV per atom
* energy above the lowest structure with this stoichiometry: 47.29 kJ per mole of atoms
* space group: No. 216

***

Entry 4:
Entry from Alexandria: Ba2Cd3Pb5 after structural relaxation (PBE).

Geometry as POSCAR:
```
Ba2Cd3Pb5
1.0
-6.192 7.382 3.685
6.192 -7.382 3.685
6.192 7.382 -3.685
Ba Cd Pb
4 6 10
Direct
0.127 0.249 0.376 Ba
0.373 0.749 0.121 Ba
0.627 0.251 0.879 Ba
0.873 0.751 0.624 Ba
0.126 0.874 0.000 Cd
0.250 0.750 0.500 Cd
0.374 0.374 0.748 Cd
0.626 0.626 0.252 Cd
0.750 0.250 0.500 Cd
0.874 0.126 0.000 Cd
0.004 0.750 0.254 Pb
0.111 0.641 0.752 Pb
0.250 0.250 0.000 Pb
0.389 0.141 0.529 Pb
0.496 0.750 0.746 Pb
0.504 0.250 0.254 Pb
0.611 0.859 0.471 Pb
0.750 0.750 0.000 Pb
0.889 0.359 0.248 Pb
0.996 0.250 0.746 Pb
```

Results
* energy of formation: -286 meV per atom
* energy above the lowest structure with this stoichiometry: 0.00 kJ per mole of atoms
* space group: No. 72

***

Entry 5:
Entry from Alexandria: BaCdPb4 after structural relaxation (PBE).

Geometry as POSCAR:
```
BaCdPb4
1.0
4.911 -3.893 0.000
4.911 3.893 0.000
-4.899 0.000 10.408
Ba Cd Pb
2 2 8
Direct
0.242 0.242 0.000 Ba
0.758 0.758 0.000 Ba
0.000 0.500 0.500 Cd
0.500 0.000 0.500 Cd
0.067 0.067 0.655 Pb
0.165 0.626 0.792 Pb
0.374 0.835 0.208 Pb
0.413 0.413 0.346 Pb
0.587 0.587 0.654 Pb
0.626 0.165 0.792 Pb
0.835 0.374 0.208 Pb
0.933 0.933 0.345 Pb
```

Results
* energy of formation: -151 meV per atom
* energy above the lowest structure with this stoichiometry: 1.65 kJ per mole of atoms
* space group: No. 12

***

Entry 6:
Entry from Alexandria: Ba6CdPb5 after structural relaxation (PBE).

Geometry as POSCAR:
```
Ba6CdPb5
1.0
3.092 -9.301 0.000
3.092 9.301 0.000
0.000 0.000 8.334
Ba Cd Pb
6 1 5
Direct
0.000 0.000 0.248 Ba
0.000 0.000 0.752 Ba
0.332 0.668 0.254 Ba
0.332 0.668 0.746 Ba
0.668 0.332 0.254 Ba
0.668 0.332 0.746 Ba
0.500 0.500 0.500 Cd
0.159 0.841 0.500 Pb
0.166 0.834 0.000 Pb
0.500 0.500 0.000 Pb
0.834 0.166 0.000 Pb
0.841 0.159 0.500 Pb
```

Results
* energy of formation: -483 meV per atom
* space group: No. 65

***

Entry 7:
Entry from Alexandria: Ba2CdPb after structural relaxation (PBE).

Geometry as POSCAR:
```
Ba2CdPb
1.0
-2.612 2.612 5.566
2.612 -2.612 5.566
2.612 2.612 -5.566
Ba Cd Pb
2 1 1
Direct
0.000 0.000 0.000 Ba
0.750 0.250 0.500 Ba
0.250 0.750 0.500 Cd
0.500 0.500 0.000 Pb
```

Results
* energy of formation: -303 meV per atom
* energy above the lowest structure with this stoichiometry: 18.22 kJ per mole of atoms
* space group: No. 119

***

Entry 8:
Entry from Alexandria: Ba2CdPb after structural relaxation (PBE).

Geometry as POSCAR:
```
Ba2CdPb
1.0
4.249 0.000 0.000
0.000 4.249 0.000
0.000 0.000 8.779
Ba Cd Pb
2 1 1
Direct
0.000 0.000 0.249 Ba
0.000 0.000 0.751 Ba
0.500 0.500 0.000 Cd
0.500 0.500 0.500 Pb
```

Results
* energy of formation: -426 meV per atom
* energy above the lowest structure with this stoichiometry: 6.31 kJ per mole of atoms
* space group: No. 123

***

Entry 9:
Entry from Alexandria: Ba2Cd3Pb5 after structural relaxation (PBE).

Geometry as POSCAR:
```
Ba2Cd3Pb5
1.0
5.357 0.000 0.000
0.000 5.357 0.000
0.000 0.000 11.939
Ba Cd Pb
2 3 5
Direct
0.000 0.500 0.239 Ba
0.500 0.000 0.761 Ba
0.000 0.000 0.000 Cd
0.000 0.500 0.890 Cd
0.500 0.000 0.110 Cd
0.000 0.000 0.500 Pb
0.000 0.500 0.646 Pb
0.500 0.000 0.354 Pb
0.500 0.500 0.000 Pb
0.500 0.500 0.500 Pb
```

Results
* energy of formation: -240 meV per atom
* energy above the lowest structure with this stoichiometry: 4.41 kJ per mole of atoms
* space group: No. 115

***

Entry 10:
Entry from Alexandria: BaCd2Pb6 after structural relaxation (PBE).

Geometry as POSCAR:
```
BaCd2Pb6
1.0
0.000 6.969 6.969
6.969 0.000 6.969
6.969 6.969 0.000
Ba Cd Pb
2 4 12
Direct
0.125 0.125 0.125 Ba
0.875 0.875 0.875 Ba
0.000 0.500 0.500 Cd
0.500 0.000 0.500 Cd
0.500 0.500 0.000 Cd
0.500 0.500 0.500 Cd
0.124 0.124 0.626 Pb
0.124 0.626 0.124 Pb
0.124 0.626 0.626 Pb
0.374 0.374 0.876 Pb
0.374 0.876 0.374 Pb
0.374 0.876 0.876 Pb
0.626 0.124 0.124 Pb
0.626 0.124 0.626 Pb
0.626 0.626 0.124 Pb
0.876 0.374 0.374 Pb
0.876 0.374 0.876 Pb
0.876 0.876 0.374 Pb
```

Results
* energy of formation: 162 meV per atom
* space group: No. 227

***

Entry 11:
Entry from Alexandria: Ba2CdPb after structural relaxation (PBE).

Geometry as POSCAR:
```
Ba2CdPb
1.0
-3.022 3.022 10.858
3.022 -3.022 10.858
3.022 3.022 -10.858
Ba Cd Pb
4 2 2
Direct
0.124 0.625 0.999 Ba
0.375 0.374 0.499 Ba
0.626 0.125 0.001 Ba
0.875 0.876 0.501 Ba
0.000 0.000 0.000 Cd
0.750 0.250 0.500 Cd
0.250 0.750 0.500 Pb
0.500 0.500 0.000 Pb
```

Results
* energy of formation: 25 meV per atom
* energy above the lowest structure with this stoichiometry: 49.80 kJ per mole of atoms
* space group: No. 122

***

Entry 12:
Entry from Alexandria: BaCd10Pb after structural relaxation (PBE).

Geometry as POSCAR:
```
BaCd10Pb
1.0
4.920 0.000 0.000
0.000 6.149 0.000
0.000 0.000 10.494
Ba Cd Pb
1 10 1
Direct
0.000 0.000 0.000 Ba
0.000 0.000 0.346 Cd
0.000 0.000 0.654 Cd
0.000 0.500 0.186 Cd
0.000 0.500 0.814 Cd
0.500 0.000 0.500 Cd
0.500 0.243 0.244 Cd
0.500 0.243 0.756 Cd
0.500 0.500 0.000 Cd
0.500 0.757 0.244 Cd
0.500 0.757 0.756 Cd
0.000 0.500 0.500 Pb
```

Results
* energy of formation: -83 meV per atom
* space group: No. 47

***

Entry 13:
Entry from Alexandria: Ba3Cd2Pb4 after structural relaxation (PBE).

Geometry as POSCAR:
```
Ba3Cd2Pb4
1.0
6.477 -2.581 0.000
6.477 2.581 0.000
-2.217 0.000 9.664
Ba Cd Pb
3 2 4
Direct
0.000 0.000 0.000 Ba
0.379 0.379 0.302 Ba
0.621 0.621 0.698 Ba
0.297 0.297 0.624 Cd
0.703 0.703 0.376 Cd
0.078 0.078 0.393 Pb
0.297 0.297 0.933 Pb
0.703 0.703 0.067 Pb
0.922 0.922 0.607 Pb
```

Results
* energy of formation: -455 meV per atom
* space group: No. 12

***

Entry 14:
Entry from Alexandria: BaCd11Pb after structural relaxation (PBE).

Geometry as POSCAR:
```
BaCd11Pb
1.0
3.165 -7.295 0.000
3.165 7.295 0.000
-3.026 0.000 7.205
Ba Cd Pb
1 11 1
Direct
0.000 0.000 0.000 Ba
0.000 0.500 0.000 Cd
0.016 0.380 0.353 Cd
0.301 0.521 0.789 Cd
0.380 0.016 0.353 Cd
0.479 0.699 0.211 Cd
0.500 0.000 0.000 Cd
0.500 0.500 0.500 Cd
0.521 0.301 0.789 Cd
0.620 0.984 0.647 Cd
0.699 0.479 0.211 Cd
0.984 0.620 0.647 Cd
0.000 0.000 0.500 Pb
```

Results
* energy of formation: -106 meV per atom
* space group: No. 12

***

Entry 15:
Entry from Alexandria: Ba2CdPb after structural relaxation (PBE).

Geometry as POSCAR:
```
Ba2CdPb
1.0
4.446 -5.263 0.000
4.446 5.263 0.000
-0.169 0.000 6.564
Ba Cd Pb
4 2 2
Direct
0.180 0.820 0.000 Ba
0.508 0.877 0.483 Ba
0.820 0.180 0.000 Ba
0.877 0.508 0.483 Ba
0.351 0.351 0.735 Cd
0.655 0.655 0.966 Cd
0.030 0.030 0.506 Pb
0.348 0.348 0.237 Pb
```

Results
* energy of formation: -391 meV per atom
* energy above the lowest structure with this stoichiometry: 9.63 kJ per mole of atoms
* space group: No. 8

***

Entry 16:
Entry from Alexandria: BaCd6Pb12 after structural relaxation (PBE).

Geometry as POSCAR:
```
BaCd6Pb12
1.0
-5.263 5.263 5.263
5.263 -5.263 5.263
5.263 5.263 -5.263
Ba Cd Pb
1 6 12
Direct
0.000 0.000 0.000 Ba
0.134 0.634 0.500 Cd
0.366 0.500 0.866 Cd
0.500 0.134 0.634 Cd
0.500 0.866 0.366 Cd
0.634 0.500 0.134 Cd
0.866 0.366 0.500 Cd
0.088 0.809 0.279 Pb
0.191 0.279 0.470 Pb
0.191 0.721 0.912 Pb
0.279 0.088 0.809 Pb
0.279 0.470 0.191 Pb
0.470 0.191 0.279 Pb
0.530 0.809 0.721 Pb
0.721 0.530 0.809 Pb
0.721 0.912 0.191 Pb
0.809 0.279 0.088 Pb
0.809 0.721 0.530 Pb
0.912 0.191 0.721 Pb
```

Results
* energy of formation: 31 meV per atom
* space group: No. 204

***

Entry 17:
Entry from Alexandria: Ba2Cd3Pb2 after structural relaxation (PBE).

Geometry as POSCAR:
```
Ba2Cd3Pb2
1.0
6.235 -2.606 0.000
6.235 2.606 0.000
-2.742 0.000 7.124
Ba Cd Pb
2 3 2
Direct
0.147 0.147 0.264 Ba
0.853 0.853 0.736 Ba
0.410 0.410 0.080 Cd
0.500 0.500 0.500 Cd
0.590 0.590 0.920 Cd
0.156 0.156 0.762 Pb
0.844 0.844 0.238 Pb
```

Results
* energy of formation: -371 meV per atom
* space group: No. 12

***

Entry 18:
Entry from Alexandria: BaCd4Pb12 after structural relaxation (PBE).

Geometry as POSCAR:
```
BaCd4Pb12
1.0
-5.227 5.227 5.227
5.227 -5.227 5.227
5.227 5.227 -5.227
Ba Cd Pb
1 4 12
Direct
0.000 0.000 0.000 Ba
0.000 0.000 0.500 Cd
0.000 0.500 0.000 Cd
0.500 0.000 0.000 Cd
0.500 0.500 0.500 Cd
0.155 0.508 0.353 Pb
0.155 0.803 0.647 Pb
0.197 0.353 0.845 Pb
0.353 0.155 0.508 Pb
0.353 0.845 0.197 Pb
0.492 0.647 0.845 Pb
0.508 0.353 0.155 Pb
0.647 0.155 0.803 Pb
0.647 0.845 0.492 Pb
0.803 0.647 0.155 Pb
0.845 0.197 0.353 Pb
0.845 0.492 0.647 Pb
```

Results
* energy of formation: 74 meV per atom
* space group: No. 204

***

Entry 19:
Entry from Alexandria: BaCd2Pb4 after structural relaxation (PBE).

Geometry as POSCAR:
```
BaCd2Pb4
1.0
2.604 -8.706 0.000
2.604 8.706 0.000
0.000 0.000 5.078
Ba Cd Pb
1 2 4
Direct
0.000 0.000 0.000 Ba
0.420 0.580 0.500 Cd
0.580 0.420 0.500 Cd
0.181 0.819 0.500 Pb
0.313 0.687 0.000 Pb
0.687 0.313 0.000 Pb
0.819 0.181 0.500 Pb
```

Results
* energy of formation: -150 meV per atom
* space group: No. 65

***

Entry 20:
Entry from Alexandria: Ba2CdPb after structural relaxation (PBE).

Geometry as POSCAR:
```
Ba2CdPb
1.0
0.000 5.790 5.819
4.584 0.000 5.819
4.584 5.790 0.000
Ba Cd Pb
4 2 2
Direct
0.209 0.791 0.791 Ba
0.250 0.250 0.250 Ba
0.750 0.750 0.750 Ba
0.791 0.209 0.209 Ba
0.291 0.709 0.291 Cd
0.709 0.291 0.709 Cd
0.287 0.287 0.713 Pb
0.713 0.713 0.287 Pb
```

Results
* energy of formation: -443 meV per atom
* energy above the lowest structure with this stoichiometry: 4.67 kJ per mole of atoms
* space group: No. 69